1.
The following is a DFT calculation (PBE) of La2Pm5Ho12 after structural relaxation.

abc: 6.783 8.829 11.494
angles: 110.90 92.40 100.45
Space group P-1 (No. 2)
Asymmetric unit:
La  0.154  0.382  0.074
Pm  0.048  0.186  0.461
Pm  0.377  0.739  0.987
Pm  0.500  0.000  0.500
Ho  0.117  0.781  0.251
Ho  0.151  0.978  0.866
Ho  0.167  0.572  0.686
Ho  0.344  0.557  0.414
Ho  0.385  0.142  0.233
Ho  0.388  0.307  0.776

Summary:
DOS(E_F) = 28.67 states/eV/cell
Formation energy = 81 meV per atom
Energy = -4.58 eV per atom
Crystal system = triclinic
Polymorph energy (0 for the lowest one) = 0 meV/atom
Volume = 33.059 Å³/atom



2.
The following is a DFT calculation (PBE) of CsRuPt2 after structural relaxation.

abc: 6.912 6.912 6.912
angles: 90.00 90.00 90.00
Space group Fm-3m (No. 225)
Asymmetric unit:
Cs  0.000  0.000  0.000
Ru  0.000  0.000  0.500
Pt  0.250  0.250  0.250

Summary:
DOS(E_F) = 17.44 states/eV/cell
Formation energy = 1230 meV per atom
Energy = -4.32 eV per atom
Crystal system = cubic
Polymorph energy (0 for the lowest one) = 674 meV/atom
Volume = 20.644 Å³/atom



3.
The following is a DFT calculation (PBE) of Zr3BeIr2 after structural relaxation.

abc: 10.941 4.192 9.475
angles: 90.00 90.00 90.00
Space group Pnma (No. 62)
Asymmetric unit:
Zr  0.054  0.250  0.124
Zr  0.112  0.750  0.579
Zr  0.210  0.250  0.816
Be  0.134  0.250  0.394
Ir  0.028  0.750  0.313
Ir  0.180  0.750  0.004

Summary:
DOS(E_F) = 21.61 states/eV/cell
Formation energy = -650 meV per atom
Energy = -8.50 eV per atom
Crystal system = orthorhombic
Volume = 18.105 Å³/atom



4.
The following is a DFT calculation (PBE) of VSi2 after structural relaxation.

abc: 4.5654 4.5654 6.3699
angles: 90.00 90.00 120.00
Space group P6_222 (No. 180)
Asymmetric unit:
V  0.0000  0.5000  0.1667
Si  0.1630  0.3260  0.5000

Summary:
DOS(E_F) = 6.37 states/eV/cell
Energy = -7.14 eV per atom
Crystal system = hexagonal
E_form (uncorrected) = -483 meV/atom
Volume = 12.775 Å³/atom